Record 1
# Nd5In4Rh | the Alexandria database | PBE | relaxed
# Formation enthalpy at 0 K   -0.52 eV/atom
# Magnetization   0.00 μB per cell
data_Nd5In4Rh
_chemical_formula_sum 'Nd5 In4 Rh1'
_symmetry_space_group_name_H-M 'P 4/m m m'
_symmetry_Int_Tables_number 123
_symmetry_space_group_name_Hall '-P 4 2'
_cell_length_a 3.618
_cell_length_b 3.618
_cell_length_c 21.134
_cell_angle_alpha 90.00
_cell_angle_beta 90.00
_cell_angle_gamma 90.00
loop_
_atom_site_label
_atom_site_type_symbol
_atom_site_fract_x
_atom_site_fract_y
_atom_site_fract_z
_atom_site_occupancy
Nd1 Nd 0.000 0.000 0.000 1
Nd2 Nd 0.000 0.000 0.208 1
Nd3 Nd 0.000 0.000 0.419 1
In1 In 0.500 0.500 0.104 1
In2 In 0.500 0.500 0.312 1
Rh1 Rh 0.500 0.500 0.500 1

=====

Record 2
# NdIn5Rh6 | the Alexandria database | PBE | relaxed
# Formation enthalpy at 0 K   -0.49 eV/atom
# Magnetization   0.00 μB per cell
data_NdIn5Rh6
_chemical_formula_sum 'Nd1 In5 Rh6'
_symmetry_space_group_name_H-M 'P 1 2/m 1'
_symmetry_Int_Tables_number 10
_cell_length_a 4.578
_cell_length_b 6.768
_cell_length_c 7.239
_cell_angle_alpha 90.00
_cell_angle_beta 108.34
_cell_angle_gamma 90.00
loop_
_symmetry_equiv_pos_as_xyz
'x,y,z'
'-x,-y,-z'
'-x,y,-z'
'x,-y,z'
loop_
_atom_site_label
_atom_site_type_symbol
_atom_site_fract_x
_atom_site_fract_y
_atom_site_fract_z
_atom_site_occupancy
Nd1 Nd 0.000 0.000 0.000 1
In1 In 0.000 0.500 0.000 1
In2 In 0.333 0.000 0.665 1
In3 In 0.334 0.500 0.669 1
Rh1 Rh 0.172 0.258 0.343 1
Rh2 Rh 0.500 0.267 0.000 1

=====

Record 3
# NdInRuRh | the Alexandria database | PBE | relaxed
# Formation enthalpy at 0 K   -0.31 eV/atom
# Magnetization   0.00 μB per cell
data_NdInRuRh
_chemical_formula_sum 'Nd4 In4 Ru4 Rh4'
_symmetry_space_group_name_H-M 'F -4 3 m'
_symmetry_Int_Tables_number 216
_symmetry_space_group_name_Hall 'F -4 2 3'
_cell_length_a 6.750
_cell_length_b 6.750
_cell_length_c 6.750
_cell_angle_alpha 90.00
_cell_angle_beta 90.00
_cell_angle_gamma 90.00
loop_
_atom_site_label
_atom_site_type_symbol
_atom_site_fract_x
_atom_site_fract_y
_atom_site_fract_z
_atom_site_occupancy
Nd1 Nd 0.000 0.000 0.000 1
In1 In 0.000 0.000 0.500 1
Ru1 Ru 0.250 0.250 0.750 1
Rh1 Rh 0.250 0.250 0.250 1

=====

Record 4
# Nd2InSb3Rh4 | the Alexandria database | PBE | relaxed
# Formation energy without anion corrections   -0.77 eV/atom
# Magnetization   0.00 μB per cell
data_Nd2InSb3Rh4
_chemical_formula_sum 'Nd2 In1 Sb3 Rh4'
_symmetry_space_group_name_H-M 'P -4 m 2'
_symmetry_Int_Tables_number 115
_cell_length_a 4.452
_cell_length_b 4.452
_cell_length_c 10.875
_cell_angle_alpha 90.00
_cell_angle_beta 90.00
_cell_angle_gamma 90.00
loop_
_symmetry_equiv_pos_as_xyz
'x,y,z'
'y,-x,-z'
'-x,-y,z'
'-y,x,-z'
'-x,y,z'
'-y,-x,-z'
'x,-y,z'
'y,x,-z'
loop_
_atom_site_label
_atom_site_type_symbol
_atom_site_fract_x
_atom_site_fract_y
_atom_site_fract_z
_atom_site_occupancy
Nd1 Nd 0.000 0.500 0.249 1
In1 In 0.000 0.000 0.500 1
Sb1 Sb 0.000 0.500 0.868 1
Sb2 Sb 0.500 0.500 0.500 1
Rh1 Rh 0.000 0.000 0.000 1
Rh2 Rh 0.000 0.500 0.635 1
Rh3 Rh 0.500 0.500 0.000 1